This record from Alexandria via LeMat-Bulk describes a relaxed AgSbTe2W crystal. The functional is PBE-GGA.

Volume in Å³ per cell: 149.3
Space-group type: No. 123
Electronic total energy in eV per cell: -22.5
DOS(E_F) in states/eV per atom: 0.97
Formation energy (no corrections) in kJ per mole of atoms: 71.0

a = 5.2887 Å, b = 5.2887 Å, c = 5.3389 Å
α = 90.00°, β = 90.00°, γ = 90.00°
Element x y z (fractional)
Ag 0.0000 0.0000 0.0000
Sb 0.5000 0.5000 0.0000
Te 0.0000 0.5000 0.5000
Te 0.5000 0.0000 0.5000
W 0.5000 0.5000 0.5000